A relaxed structure of SrPb. Source: Alexandria, functional PBE.

Structure (CIF):
```
data_SrPb
_chemical_formula_sum 'Sr6 Pb6'
_symmetry_space_group_name_H-M 'P 1'
_symmetry_Int_Tables_number 1
_symmetry_space_group_name_Hall 'P 1'
_cell_length_a 9.518
_cell_length_b 9.518
_cell_length_c 9.518
_cell_angle_alpha 90.00
_cell_angle_beta 90.00
_cell_angle_gamma 90.00
loop_
_atom_site_label
_atom_site_fract_x
_atom_site_fract_y
_atom_site_fract_z
Sr1 0.000 0.250 0.500
Sr2 0.000 0.750 0.500
Sr3 0.250 0.500 0.000
Sr4 0.500 0.000 0.250
Sr5 0.500 0.000 0.750
Sr6 0.750 0.500 0.000
Pb1 0.000 0.500 0.250
Pb2 0.000 0.500 0.750
Pb3 0.250 0.000 0.500
Pb4 0.500 0.250 0.000
Pb5 0.500 0.750 0.000
Pb6 0.750 0.000 0.500
```

Energy of formation in eV per atom: 0.34
Raw total energy in eV per atom: -2.3522

***

A relaxed structure of SrAs2CSe. Source: Alexandria, functional PBE.

Structure (CIF):
```
data_SrAs2CSe
_chemical_formula_sum 'Sr1 As2 C1 Se1'
_symmetry_space_group_name_H-M 'P 1'
_symmetry_Int_Tables_number 1
_symmetry_space_group_name_Hall 'P 1'
_cell_length_a 4.371
_cell_length_b 4.371
_cell_length_c 5.560
_cell_angle_alpha 90.00
_cell_angle_beta 90.00
_cell_angle_gamma 90.00
loop_
_atom_site_label
_atom_site_fract_x
_atom_site_fract_y
_atom_site_fract_z
Sr1 0.000 0.000 0.000
As1 0.000 0.500 0.500
As2 0.500 0.000 0.500
C1 0.500 0.500 0.500
Se1 0.500 0.500 0.000
```

Polymorph energy (0 for the lowest one) in meV per atom: 0
Raw total energy in eV per atom: -4.3499
Formation energy (no corrections) in eV/atom: 0.39

***

A relaxed structure of HoPuTl4. Source: Alexandria, functional PBE.

Structure (CIF):
```
data_HoPuTl4
_chemical_formula_sum 'Ho1 Pu1 Tl4'
_symmetry_space_group_name_H-M 'P 1'
_symmetry_Int_Tables_number 1
_symmetry_space_group_name_Hall 'P 1'
_cell_length_a 6.710
_cell_length_b 6.710
_cell_length_c 5.197
_cell_angle_alpha 90.00
_cell_angle_beta 90.00
_cell_angle_gamma 134.22
loop_
_atom_site_label
_atom_site_fract_x
_atom_site_fract_y
_atom_site_fract_z
Ho1 0.000 0.000 0.000
Pu1 0.500 0.500 0.500
Tl1 0.169 0.831 0.500
Tl2 0.334 0.666 0.000
Tl3 0.666 0.334 0.000
Tl4 0.831 0.169 0.500
```

Energy of formation in eV per atom: -0.03
Raw total energy in eV per atom: -4.7620

***

A relaxed structure of CrTc3W. Source: Alexandria, functional PBE.

Structure (CIF):
```
data_CrTc3W
_chemical_formula_sum 'Cr1 Tc3 W1'
_symmetry_space_group_name_H-M 'P 1'
_symmetry_Int_Tables_number 1
_symmetry_space_group_name_Hall 'P 1'
_cell_length_a 4.637
_cell_length_b 4.637
_cell_length_c 4.637
_cell_angle_alpha 90.00
_cell_angle_beta 90.00
_cell_angle_gamma 90.00
loop_
_atom_site_label
_atom_site_fract_x
_atom_site_fract_y
_atom_site_fract_z
Cr1 0.000 0.000 0.000
Tc1 0.000 0.500 0.500
Tc2 0.500 0.000 0.500
Tc3 0.500 0.500 0.000
W1 0.500 0.500 0.500
```

Polymorph energy (0 for the lowest one) in meV per atom: 821
Energy of formation in eV per atom: 2.13
Raw total energy in eV per atom: -8.6074

***

A relaxed structure of Pu4Zn5Ge6. Source: Alexandria, functional PBE.

Structure (CIF):
```
data_Pu4Zn5Ge6
_chemical_formula_sum 'Pu8 Zn10 Ge12'
_symmetry_space_group_name_H-M 'P 1'
_symmetry_Int_Tables_number 1
_symmetry_space_group_name_Hall 'P 1'
_cell_length_a 9.619
_cell_length_b 9.619
_cell_length_c 15.269
_cell_angle_alpha 90.00
_cell_angle_beta 90.00
_cell_angle_gamma 154.17
loop_
_atom_site_label
_atom_site_fract_x
_atom_site_fract_y
_atom_site_fract_z
Pu1 0.022 0.978 0.500
Pu2 0.034 0.966 0.765
Pu3 0.165 0.835 0.301
Pu4 0.174 0.826 0.947
Pu5 0.826 0.174 0.447
Pu6 0.835 0.165 0.801
Pu7 0.966 0.034 0.265
Pu8 0.978 0.022 0.000
Zn1 0.153 0.847 0.627
Zn2 0.302 0.698 0.624
Zn3 0.344 0.656 0.276
Zn4 0.349 0.651 0.981
Zn5 0.436 0.564 0.685
Zn6 0.564 0.436 0.185
Zn7 0.651 0.349 0.481
Zn8 0.656 0.344 0.776
Zn9 0.698 0.302 0.124
Zn10 0.847 0.153 0.127
Ge1 0.109 0.891 0.118
Ge2 0.223 0.777 0.484
Ge3 0.228 0.772 0.766
Ge4 0.431 0.569 0.131
Ge5 0.431 0.569 0.411
Ge6 0.441 0.559 0.856
Ge7 0.559 0.441 0.356
Ge8 0.569 0.431 0.631
Ge9 0.569 0.431 0.911
Ge10 0.772 0.228 0.266
Ge11 0.777 0.223 0.984
Ge12 0.891 0.109 0.618
```

Energy of formation in eV per atom: -0.31
Raw total energy in eV per atom: -6.4039

***

A relaxed structure of B2C3. Source: Alexandria, functional PBE.

Structure (CIF):
```
data_B2C3
_chemical_formula_sum 'B4 C6'
_symmetry_space_group_name_H-M 'P 1'
_symmetry_Int_Tables_number 1
_symmetry_space_group_name_Hall 'P 1'
_cell_length_a 10.314
_cell_length_b 10.314
_cell_length_c 10.314
_cell_angle_alpha 165.93
_cell_angle_beta 165.93
_cell_angle_gamma 19.95
loop_
_atom_site_label
_atom_site_fract_x
_atom_site_fract_y
_atom_site_fract_z
B1 0.075 0.325 0.750
B2 0.325 0.075 0.250
B3 0.675 0.925 0.750
B4 0.925 0.675 0.250
C1 0.125 0.875 0.250
C2 0.270 0.520 0.750
C3 0.480 0.730 0.750
C4 0.520 0.270 0.250
C5 0.730 0.480 0.250
C6 0.875 0.125 0.750
```

Polymorph energy (0 for the lowest one) in meV per atom: 105
Energy of formation in eV per atom: 0.34
Raw total energy in eV per atom: -7.8642